Density functional theory data (GGA-PBE) for a relaxed Ca2SiO4 crystal.

The structure in CIF format:
```
data_Ca2SiO4
_symmetry_space_group_name_H-M 'C 1 2/c 1'
_symmetry_Int_Tables_number 15
_cell_length_a 16.5275
_cell_length_b 5.4847
_cell_length_c 10.0701
_cell_angle_alpha 90.00
_cell_angle_beta 124.54
_cell_angle_gamma 90.00
loop_
_symmetry_equiv_pos_as_xyz
'x,y,z'
'-x,-y,-z'
'-x,y,-z+1/2'
'x,-y,z+1/2'
'x+1/2,y+1/2,z'
'-x+1/2,-y+1/2,-z'
'-x+1/2,y+1/2,-z+1/2'
'x+1/2,-y+1/2,z+1/2'
loop_
_atom_site_label
_atom_site_fract_x
_atom_site_fract_y
_atom_site_fract_z
_atom_site_occupancy
Ca1 0.0000 0.1337 0.2500 1
Ca2 0.1618 0.2701 0.0912 1
Ca3 0.2500 0.2500 0.5000 1
Si1 0.1079 0.2904 0.7133 1
O1 0.0036 0.1936 0.9064 1
O2 0.1152 0.4221 0.2697 1
O3 0.1670 0.1064 0.8728 1
O4 0.1737 0.2837 0.6341 1
```

Results
Polymorph energy (0 for the lowest one) in meV/atom: 65

Density functional theory data (GGA-PBE) for a relaxed Ca2SiO4 crystal.

The structure in CIF format:
```
data_Ca2SiO4
_symmetry_space_group_name_H-M 'P 1 21/c 1'
_symmetry_Int_Tables_number 14
_cell_length_a 5.7728
_cell_length_b 8.2973
_cell_length_c 9.2174
_cell_angle_alpha 90.00
_cell_angle_beta 118.23
_cell_angle_gamma 90.00
loop_
_symmetry_equiv_pos_as_xyz
'x,y,z'
'-x,-y,-z'
'-x,y+1/2,-z+1/2'
'x,-y+1/2,z+1/2'
loop_
_atom_site_label
_atom_site_fract_x
_atom_site_fract_y
_atom_site_fract_z
_atom_site_occupancy
Ca1 0.0822 0.1579 0.3729 1
Ca2 0.3531 0.0123 0.1367 1
Si1 0.2588 0.6946 0.9633 1
O1 0.0165 0.6794 0.4350 1
O2 0.1713 0.6030 0.7882 1
O3 0.2882 0.5626 0.1046 1
O4 0.4743 0.1931 0.9766 1
```

Results
Polymorph energy (0 for the lowest one) in meV/atom: 12

Density functional theory data (GGA-PBE) for a relaxed Ca2SiO4 crystal.

The structure in CIF format:
```
data_Ca2SiO4
_symmetry_space_group_name_H-M 'P n a 21'
_symmetry_Int_Tables_number 33
_cell_length_a 20.5389
_cell_length_b 9.3317
_cell_length_c 5.5985
_cell_angle_alpha 90.00
_cell_angle_beta 90.00
_cell_angle_gamma 90.00
loop_
_symmetry_equiv_pos_as_xyz
'x,y,z'
'-x,-y,z+1/2'
'-x+1/2,y+1/2,z+1/2'
'x+1/2,-y+1/2,z'
loop_
_atom_site_label
_atom_site_fract_x
_atom_site_fract_y
_atom_site_fract_z
_atom_site_occupancy
Ca1 0.0038 0.1994 0.0083 1
Ca2 0.0579 0.5579 0.0000 1
Ca3 0.1095 0.0756 0.4818 1
Ca4 0.1635 0.7050 0.4527 1
Ca5 0.1705 0.2891 0.9724 1
Ca6 0.2209 0.9255 0.9510 1
Si1 0.0720 0.9082 0.9747 1
Si2 0.0957 0.4095 0.5048 1
Si3 0.2419 0.5786 0.9552 1
O1 0.0025 0.0493 0.4027 1
O2 0.0489 0.5530 0.5512 1
O3 0.0764 0.7832 0.1824 1
O4 0.0771 0.3381 0.2448 1
O5 0.0793 0.2921 0.7173 1
O6 0.1067 0.8529 0.7216 1
O7 0.1139 0.0513 0.0585 1
O8 0.1661 0.5474 0.0218 1
O9 0.1718 0.4570 0.5180 1
O10 0.2204 0.9285 0.3752 1
O11 0.2207 0.1318 0.7026 1
O12 0.2498 0.2037 0.2491 1
```

Results
Polymorph energy (0 for the lowest one) in meV/atom: 37

Density functional theory data (GGA-PBE) for a relaxed Ca2SiO4 crystal.

The structure in CIF format:
```
data_Ca2SiO4
_symmetry_space_group_name_H-M 'P 1 21/c 1'
_symmetry_Int_Tables_number 14
_cell_length_a 5.5916
_cell_length_b 6.0758
_cell_length_c 12.1838
_cell_angle_alpha 90.00
_cell_angle_beta 95.25
_cell_angle_gamma 90.00
loop_
_symmetry_equiv_pos_as_xyz
'x,y,z'
'-x,-y,-z'
'-x,y+1/2,-z+1/2'
'x,-y+1/2,z+1/2'
loop_
_atom_site_label
_atom_site_fract_x
_atom_site_fract_y
_atom_site_fract_z
_atom_site_occupancy
Ca1 0.2410 0.0905 0.3043 1
Ca2 0.2593 0.6586 0.4923 1
Si1 0.2398 0.1903 0.5875 1
O1 0.0061 0.2023 0.6627 1
O2 0.1355 0.2314 0.9611 1
O3 0.3812 0.5434 0.0996 1
O4 0.4231 0.1041 0.1295 1
```

Results
Polymorph energy (0 for the lowest one) in meV/atom: 75

Density functional theory data (GGA-PBE) for a relaxed Ca3SiO crystal.

The structure in CIF format:
```
data_Ca3SiO
_symmetry_space_group_name_H-M 'P n m a'
_symmetry_Int_Tables_number 62
_cell_length_a 6.6782
_cell_length_b 9.4618
_cell_length_c 6.6955
_cell_angle_alpha 90.00
_cell_angle_beta 90.00
_cell_angle_gamma 90.00
loop_
_symmetry_equiv_pos_as_xyz
'x,y,z'
'-x,-y,-z'
'-x+1/2,-y,z+1/2'
'x+1/2,y,-z+1/2'
'x+1/2,-y+1/2,-z+1/2'
'-x+1/2,y+1/2,z+1/2'
'-x,y+1/2,-z'
'x,-y+1/2,z'
loop_
_atom_site_label
_atom_site_fract_x
_atom_site_fract_y
_atom_site_fract_z
_atom_site_occupancy
Ca1 0.0035 0.2500 0.0422 1
Ca2 0.2294 0.0216 0.7294 1
Si1 0.0104 0.7500 0.4982 1
O1 0.0000 0.0000 0.0000 1
```

Density functional theory data (GGA-PBE) for a relaxed CaSiO crystal.

The structure in CIF format:
```
data_CaSiO
_symmetry_space_group_name_H-M 'A m m 2'
_symmetry_Int_Tables_number 38
_cell_length_a 10.0505
_cell_length_b 3.4914
_cell_length_c 6.5136
_cell_angle_alpha 90.00
_cell_angle_beta 90.00
_cell_angle_gamma 90.00
loop_
_symmetry_equiv_pos_as_xyz
'x,y,z'
'-x,-y,z'
'-x,y,z'
'x,-y,z'
'x,y+1/2,z+1/2'
'-x,-y+1/2,z+1/2'
'-x,y+1/2,z+1/2'
'x,-y+1/2,z+1/2'
loop_
_atom_site_label
_atom_site_fract_x
_atom_site_fract_y
_atom_site_fract_z
_atom_site_occupancy
Ca1 0.2312 0.0000 0.0000 1
Si1 0.0000 0.0000 0.3209 1
Si2 0.5000 0.0000 0.2300 1
O1 0.3525 0.0000 0.3435 1
```

| no. | E_form (uncorrected) (eV per atom) | E (eV per atom) |
| --- | --- | --- |
| 1 | -3.01 | -7.1931 |
| 2 | -3.07 | -7.2467 |
| 3 | -3.04 | -7.2215 |
| 4 | -3.00 | -7.1833 |
| 5 | -1.48 | -4.7526 |
| 6 | -1.44 | -5.5641 |